# Ac4FeCu3O12

Crystalline Ac4FeCu3O12 at its relaxed geometry (PBE+U, Alexandria).

a b c (Å): 6.855 6.855 6.855
angles (deg): 109.47 109.47 109.47
Element x y z (fractional)
Ac1 0.500 0.500 0.500
Ac2 0.000 0.000 0.500
Ac3 0.500 0.000 0.000
Ac4 0.000 0.500 0.000
Fe1 0.000 0.000 0.000
Cu1 0.500 0.000 0.500
Cu2 0.500 0.500 0.000
Cu3 0.000 0.500 0.500
O1 0.250 0.500 0.750
O2 0.751 0.000 0.751
O3 0.249 0.000 0.249
O4 0.750 0.500 0.250
O5 0.751 0.751 0.000
O6 0.249 0.249 0.000
O7 0.750 0.250 0.500
O8 0.250 0.750 0.500
O9 0.500 0.250 0.750
O10 0.000 0.751 0.751
O11 0.500 0.750 0.250
O12 0.000 0.249 0.249

Output
Symmetry: No. 229
Electronic total energy in eV for the cell shown: -136.135
DOS at the Fermi energy in states/eV/cell: 4.575